[1]
## Mg2CoMoAs (PBE-GGA)

Data for a relaxed Mg2CoMoAs crystal.

abc: 5.136 4.324 5.136
angles: 90.00 90.00 90.00
Site moments in Bohr magnetons follow the coordinates.
Atoms (fractional coordinates):
Mg 0.000 0.000 0.500  0.00
Mg 0.500 0.000 0.000  0.01
Mo 0.000 0.000 0.000  0.65
Co 0.000 0.500 0.000  0.74
As 0.500 0.500 0.500  0.01

Computed properties:
Energy of formation from the pure elements in meV per atom: 1213.8
Symmetry: No. 123
Total moment in μB per cell: 1.61

[2]
## Ba3Zn3Ga8 (PBE-GGA)

Data for a relaxed Ba3Zn3Ga8 crystal.

abc: 4.373 8.797 10.052
angles: 68.41 77.44 75.61
Atoms (fractional coordinates):
Ba 0.299 0.746 0.657
Ba 0.701 0.254 0.343
Ba 0.000 0.000 0.000
Zn 0.000 0.500 0.500
Zn 0.675 0.712 0.938
Zn 0.325 0.288 0.062
Ga 0.089 0.191 0.630
Ga 0.911 0.809 0.370
Ga 0.840 0.429 0.890
Ga 0.160 0.571 0.110
Ga 0.543 0.693 0.221
Ga 0.457 0.307 0.779
Ga 0.374 0.979 0.273
Ga 0.626 0.021 0.727

Computed properties:
Energy of formation from the pure elements in meV per atom: -287.8
Symmetry: No. 12
Total moment in μB per cell: 0.00

[3]
## Tb12Mg3H5 (PBE-GGA)

Data for a relaxed Tb12Mg3H5 crystal.

abc: 13.583 13.583 13.583
angles: 109.47 109.47 109.47
Atoms (fractional coordinates):
H 0.125 0.375 0.250
H 0.000 0.500 0.000
H 0.000 0.000 0.000
H 0.375 0.250 0.125
H 0.500 0.000 0.500
H 0.500 0.500 0.000
H 0.125 0.750 0.375
H 0.750 0.125 0.875
H 0.750 0.625 0.375
H 0.375 0.125 0.750
H 0.625 0.875 0.250
H 0.500 0.500 0.500
H 0.500 0.000 0.000
H 0.000 0.000 0.500
H 0.250 0.375 0.625
H 0.250 0.875 0.125
H 0.000 0.500 0.500
H 0.875 0.250 0.625
H 0.625 0.750 0.875
H 0.875 0.625 0.750
Mg 0.750 0.375 0.125
Mg 0.875 0.750 0.125
Mg 0.375 0.750 0.625
Mg 0.250 0.125 0.375
Mg 0.875 0.125 0.250
Mg 0.375 0.625 0.250
Mg 0.625 0.375 0.750
Mg 0.125 0.875 0.750
Mg 0.750 0.875 0.625
Mg 0.625 0.250 0.375
Mg 0.125 0.250 0.875
Mg 0.250 0.625 0.875
Tb 0.701 0.105 0.008
Tb 0.307 0.508 0.403
Tb 0.992 0.395 0.299
Tb 0.508 0.201 0.105
Tb 0.596 0.701 0.693
Tb 0.992 0.597 0.193
Tb 0.307 0.799 0.404
Tb 0.097 0.904 0.105
Tb 0.597 0.992 0.693
Tb 0.701 0.596 0.193
Tb 0.799 0.492 0.395
Tb 0.807 0.903 0.008
Tb 0.105 0.701 0.508
Tb 0.395 0.403 0.096
Tb 0.096 0.903 0.395
Tb 0.404 0.105 0.597
Tb 0.096 0.193 0.201
Tb 0.492 0.693 0.097
Tb 0.807 0.904 0.299
Tb 0.105 0.404 0.097
Tb 0.395 0.992 0.799
Tb 0.597 0.605 0.404
Tb 0.903 0.807 0.508
Tb 0.799 0.307 0.904
Tb 0.403 0.395 0.596
Tb 0.097 0.193 0.492
Tb 0.201 0.693 0.096
Tb 0.193 0.096 0.701
Tb 0.605 0.008 0.201
Tb 0.895 0.596 0.903
Tb 0.508 0.307 0.903
Tb 0.596 0.895 0.403
Tb 0.904 0.807 0.799
Tb 0.904 0.097 0.605
Tb 0.895 0.299 0.492
Tb 0.193 0.097 0.992
Tb 0.605 0.597 0.904
Tb 0.403 0.008 0.307
Tb 0.299 0.404 0.807
Tb 0.201 0.508 0.605
Tb 0.903 0.096 0.895
Tb 0.693 0.201 0.596
Tb 0.492 0.799 0.895
Tb 0.008 0.403 0.807
Tb 0.404 0.299 0.307
Tb 0.008 0.605 0.701
Tb 0.693 0.492 0.597
Tb 0.299 0.895 0.992

Computed properties:
Calculated total energy in eV per atom: -3.957
Symmetry: No. 230
Total moment in μB per cell: 0.00